Material: LaY2ScP4
Method: DFT, PBE
State: relaxed

Cell lengths 6.961, 4.031, 6.974 Å; angles 90.00, 109.37, 90.00 degrees
Space group P2/m (No. 10)
Inequivalent atoms, fractional coordinates:
La (0.000, 0.000, 0.000) (multiplicity 1)
Y (0.000, 0.500, 0.500) (multiplicity 1)
Y (0.500, 0.000, 0.500) (multiplicity 1)
Sc (0.500, 0.500, 0.000) (multiplicity 1)
P (0.264, 0.000, 0.756) (multiplicity 2)
P (0.264, 0.500, 0.254) (multiplicity 2)

Values from the calculation:
Raw total energy ... -7.2489 eV per atom
DOS at the Fermi energy ... 0.0991 states/eV per atom

Material: TcNiP4
Method: DFT, PBE
State: relaxed

Cell lengths 6.859, 6.859, 6.859 Å; angles 90.00, 90.00, 90.00 degrees
Space group F-43m (No. 216)
Inequivalent atoms, fractional coordinates:
Tc (0.000, 0.000, 0.000) (multiplicity 4)
Ni (0.250, 0.250, 0.750) (multiplicity 4)
P (0.125, 0.125, 0.375) (multiplicity 16)

Values from the calculation:
Raw total energy ... -5.5699 eV per atom
DOS at the Fermi energy ... 0.7280 states/eV per atom

Material: BaFeOs
Method: DFT, PBE
State: relaxed

Cell lengths 3.9779, 3.9779, 5.2936 Å; angles 90.00, 90.00, 120.00 degrees
Space group P-6m2 (No. 187)
Inequivalent atoms, fractional coordinates:
Ba (0.0000, 0.0000, 0.0000) (multiplicity 1)
Fe (0.6667, 0.3333, 0.5000) (multiplicity 1)
Os (0.3333, 0.6667, 0.5000) (multiplicity 1)

Values from the calculation:
Raw total energy ... -6.6687 eV per atom
DOS at the Fermi energy ... 0.8914 states/eV per atom
Energy above the most stable polymorph in this dataset ... 190.7 meV/atom

Material: Ac12TmGe7
Method: DFT, PBE
State: relaxed

Cell lengths 15.9222, 15.9222, 10.8331 Å; angles 90.00, 90.00, 120.00 degrees
Space group R-3 (No. 148, hexagonal axes)
Inequivalent atoms, fractional coordinates:
Ac (0.0255, 0.4374, 0.1631) (multiplicity 18)
Ac (0.0486, 0.8704, 0.8290) (multiplicity 18)
Tm (0.0000, 0.0000, 0.5000) (multiplicity 3)
Ge (0.0000, 0.0000, 0.0000) (multiplicity 3)
Ge (0.0485, 0.8730, 0.3396) (multiplicity 18)

Values from the calculation:
Raw total energy ... -4.7057 eV per atom
DOS at the Fermi energy ... 1.1616 states/eV per atom

Material: Ho6Er3Tm2Tl
Method: DFT, PBE
State: relaxed

Cell lengths 6.049, 10.484, 11.527 Å; angles 90.00, 100.18, 90.00 degrees
Space group C2/m (No. 12)
Inequivalent atoms, fractional coordinates:
Ho (0.247, 0.165, 0.247) (multiplicity 8)
Ho (0.249, 0.000, 0.751) (multiplicity 4)
Er (0.000, 0.167, 0.500) (multiplicity 4)
Er (0.000, 0.500, 0.500) (multiplicity 2)
Tm (0.000, 0.334, 0.000) (multiplicity 4)
Tl (0.000, 0.000, 0.000) (multiplicity 2)

Values from the calculation:
Raw total energy ... -4.3800 eV per atom
DOS at the Fermi energy ... 1.3540 states/eV per atom

Material: TbNd3Sm2Er6
Method: DFT, PBE
State: relaxed

Cell lengths 6.205, 10.745, 11.751 Å; angles 90.00, 100.10, 90.00 degrees
Space group C2/m (No. 12)
Inequivalent atoms, fractional coordinates:
Tb (0.000, 0.000, 0.000) (multiplicity 2)
Nd (0.000, 0.167, 0.500) (multiplicity 4)
Nd (0.000, 0.500, 0.500) (multiplicity 2)
Sm (0.000, 0.333, 0.000) (multiplicity 4)
Er (0.249, 0.167, 0.248) (multiplicity 8)
Er (0.250, 0.000, 0.752) (multiplicity 4)

Values from the calculation:
Raw total energy ... -4.6300 eV per atom
DOS at the Fermi energy ... 1.1437 states/eV per atom

Computed magnetization, in the same sequence as the records: 0.00, 0.00, 0.00, 0.00, 0.00, 0.00 μB per formula unit.